No. 1
DFT (PBE-GGA) results for crystalline LuZrTlCo at its relaxed geometry.

abc: 6.8182 6.8182 6.8182
angles: 90.00 90.00 90.00
Closest atoms and distances in Å follow each position.
Fractional coordinates of all 16 atoms:
1 Lu 0.0000 0.0000 0.0000  4 Zr 2.95, 4 Tl 2.95
2 Lu 0.0000 0.5000 0.5000  4 Zr 2.95, 4 Tl 2.95
3 Lu 0.5000 0.0000 0.5000  4 Zr 2.95, 4 Tl 2.95
4 Lu 0.5000 0.5000 0.0000  4 Zr 2.95, 4 Tl 2.95
5 Zr 0.2500 0.2500 0.7500  4 Co 2.95, 4 Lu 2.95
6 Zr 0.2500 0.7500 0.2500  4 Co 2.95, 4 Lu 2.95
7 Zr 0.7500 0.2500 0.2500  4 Co 2.95, 4 Lu 2.95
8 Zr 0.7500 0.7500 0.7500  4 Co 2.95, 4 Lu 2.95
9 Tl 0.2500 0.2500 0.2500  4 Co 2.95, 4 Lu 2.95
10 Tl 0.2500 0.7500 0.7500  4 Co 2.95, 4 Lu 2.95
11 Tl 0.7500 0.2500 0.7500  4 Co 2.95, 4 Lu 2.95
12 Tl 0.7500 0.7500 0.2500  4 Co 2.95, 4 Lu 2.95
13 Co 0.0000 0.0000 0.5000  4 Zr 2.95, 4 Tl 2.95
14 Co 0.0000 0.5000 0.0000  4 Zr 2.95, 4 Tl 2.95
15 Co 0.5000 0.0000 0.0000  4 Zr 2.95, 4 Tl 2.95
16 Co 0.5000 0.5000 0.5000  4 Zr 2.95, 4 Tl 2.95

Magnetic moment (μB/f.u.): 1.00
Polymorph energy (0 for the lowest one) (meV/atom): 0.0


No. 2
DFT (PBE-GGA) results for crystalline Cd3SiS4 at its relaxed geometry.

abc: 5.9211 5.9211 11.7920
angles: 90.00 90.00 90.00
Closest atoms and distances in Å follow each position.
Fractional coordinates of all 16 atoms:
1 Cd 0.0000 0.0000 0.0000  4 S 2.57
2 Cd 0.0000 0.5000 0.2500  4 S 2.57
3 Cd 0.0000 0.5000 0.7500  4 S 2.57
4 Cd 0.5000 0.0000 0.2500  4 S 2.57
5 Cd 0.5000 0.0000 0.7500  4 S 2.57
6 Cd 0.5000 0.5000 0.5000  4 S 2.57
7 Si 0.0000 0.0000 0.5000  4 S 2.52
8 Si 0.5000 0.5000 0.0000  4 S 2.52
9 S 0.2465 0.2465 0.6230  1 Si 2.52, 3 Cd 2.57
10 S 0.2465 0.7535 0.3770  1 Si 2.52, 3 Cd 2.57
11 S 0.2535 0.2535 0.1230  1 Si 2.52, 3 Cd 2.57
12 S 0.2535 0.7465 0.8770  1 Si 2.52, 3 Cd 2.57
13 S 0.7465 0.2535 0.8770  1 Si 2.52, 3 Cd 2.57
14 S 0.7465 0.7465 0.1230  1 Si 2.52, 3 Cd 2.57
15 S 0.7535 0.2465 0.3770  1 Si 2.52, 3 Cd 2.57
16 S 0.7535 0.7535 0.6230  1 Si 2.52, 3 Cd 2.57

DFT total energy (hartree per atom): -0.1264